## PrSm2Te3 (GGA-PBE)

Data for PrSm2Te3 after structural relaxation.

Properties
DFT total energy = -5.341 eV per atom
formation energy without anion corrections = -1.401 eV/atom

Lattice parameters (Å, degrees): 4.497 6.309 7.736 114.06 106.90 90.00
Fractional positions:
Te  0.172  0.672  0.844
Te  0.828  0.328  0.156
Te  0.500  0.000  0.500
Sm  0.839  0.839  0.177
Sm  0.161  0.161  0.823
Pr  0.500  0.500  0.500

## Pr4SmTe5 (GGA-PBE)

Data for Pr4SmTe5 after structural relaxation.

Properties
DFT total energy = -5.382 eV per atom
formation energy without anion corrections = -1.428 eV/atom

Lattice parameters (Å, degrees): 4.503 4.503 16.363 97.91 97.91 90.00
Fractional positions:
Te  0.500  0.500  0.000
Te  0.703  0.703  0.406
Te  0.903  0.903  0.806
Te  0.297  0.297  0.594
Te  0.097  0.097  0.194
Pr  0.195  0.195  0.390
Pr  0.602  0.602  0.205
Pr  0.805  0.805  0.610
Pr  0.398  0.398  0.795
Sm  0.000  0.000  0.000